Below is a geometry-optimized Ta2HPdW structure, with properties calculated at the PBE level.

Cell lengths 4.2818, 4.2818, 3.8024 Å; angles 90.00, 90.00, 90.00 degrees
With the nearest neighbours (Å) after each atom.
Element x y z (fractional)
Ta: 0.0000 0.5000 0.0000  2 H 2.14
Ta: 0.5000 0.0000 0.0000  2 H 2.14
H: 0.0000 0.0000 0.0000  2 W 1.90
Pd: 0.5000 0.5000 0.5000  8 Ta 2.86, 4 W 3.03
W: 0.0000 0.0000 0.5000  2 H 1.90

Calculated values
Magnetization, μB per formula unit: 0.0
SG: P4/mmm (123)
ΔE to the lowest computed polymorph, eV per atom: 0.018

Below is a geometry-optimized Ta2HPdW structure, with properties calculated at the PBE level.

Cell lengths 4.4017, 4.4017, 3.6030 Å; angles 90.00, 90.00, 90.00 degrees
With the nearest neighbours (Å) after each atom.
Element x y z (fractional)
Ta: 0.0000 0.5000 0.0000  2 H 2.20
Ta: 0.5000 0.0000 0.0000  2 H 2.20
H: 0.0000 0.0000 0.0000  2 Pd 1.80
Pd: 0.0000 0.0000 0.5000  2 H 1.80
W: 0.5000 0.5000 0.5000  8 Ta 2.84, 4 Pd 3.11

Calculated values
Magnetization, μB per formula unit: 0.0
SG: P4/mmm (123)
ΔE to the lowest computed polymorph, eV per atom: 0.000

Below is a geometry-optimized ZrTa2HPd structure, with properties calculated at the PBE level.

Cell lengths 4.0801, 4.0801, 4.5648 Å; angles 90.00, 90.00, 90.00 degrees
With the nearest neighbours (Å) after each atom.
Element x y z (fractional)
Zr: 0.0000 0.0000 0.0000  2 H 2.28
Ta: 0.0000 0.5000 0.5000  2 H 2.04
Ta: 0.5000 0.0000 0.5000  2 H 2.04
H: 0.0000 0.0000 0.5000  4 Ta 2.04, 2 Zr 2.28
Pd: 0.5000 0.5000 0.0000  4 Zr 2.89, 8 Ta 3.06

Calculated values
Magnetization, μB per formula unit: 0.0
DFT total energy, eV/cell: -41.5
SG: P4/mmm (123)

Below is a geometry-optimized ZrTaH2Pd structure, with properties calculated at the PBE level.

Cell lengths 3.7558, 3.7558, 5.1863 Å; angles 90.00, 90.00, 90.00 degrees
With the nearest neighbours (Å) after each atom.
Element x y z (fractional)
Zr: 0.0000 0.0000 0.0000  4 Pd 2.66
Ta: 0.5000 0.5000 0.5000  4 H 1.88
H: 0.0000 0.5000 0.5000  2 Ta 1.88
H: 0.5000 0.0000 0.5000  2 Ta 1.88
Pd: 0.5000 0.5000 0.0000  2 Ta 2.59, 4 Zr 2.66

Calculated values
Magnetization, μB per formula unit: 0.0
DFT total energy, eV/cell: -31.2
SG: P4/mmm (123)

no.,N(E_F) (states/eV/f.u.)
1,3.42
2,3.31
3,4.06
4,3.75